The following is a PBE-GGA calculation of a relaxed Ga3Cu5Au2 crystal, from Alexandria.

* total magnetic moment: 0.0 μB/cell
* volume: 305 Å³/cell
* formation energy from the elements: 0.110 eV/f.u.

Unit cell a=8.3750 b=8.3750 c=8.3750 alpha=108.73 beta=81.46 gamma=145.84
Element x y z (fractional)
Ga: 0.1501 0.6347 0.7848
Ga: 0.2500 0.2500 0.0000
Ga: 0.3499 0.1347 0.4846
Ga: 0.6501 0.8653 0.5154
Ga: 0.7500 0.7500 0.0000
Ga: 0.8499 0.3653 0.2152
Cu: 0.1513 0.1223 0.2736
Cu: 0.2500 0.5012 0.2512
Cu: 0.2500 0.7500 0.5000
Cu: 0.2500 0.9988 0.7488
Cu: 0.3487 0.6223 0.9710
Cu: 0.6513 0.3777 0.0290
Cu: 0.7500 0.0012 0.2512
Cu: 0.7500 0.2500 0.5000
Cu: 0.7500 0.4988 0.7488
Cu: 0.8487 0.8777 0.7264
Au: 0.2425 0.3788 0.6213
Au: 0.2575 0.8788 0.1363
Au: 0.7425 0.1212 0.8637
Au: 0.7575 0.6212 0.3787



The following is a PBE-GGA calculation of a relaxed UP2Rh crystal, from Alexandria.

* total magnetic moment: 0.0 μB/cell
* volume: 64 Å³/cell
* formation energy from the elements: -2.604 eV/f.u.

Unit cell a=4.2159 b=4.2159 c=3.6023 alpha=90.00 beta=90.00 gamma=90.00
Element x y z (fractional)
U: 0.0000 0.0000 0.0000
P: 0.0000 0.5000 0.5000
P: 0.5000 0.0000 0.5000
Rh: 0.5000 0.5000 0.0000



The following is a PBE-GGA calculation of a relaxed CaPr4Ga4 crystal, from Alexandria.

* total magnetic moment: 0.0 μB/cell
* volume: 539 Å³/cell
* formation energy from the elements: -3.158 eV/f.u.

Unit cell a=9.2518 b=9.2518 c=6.2983 alpha=90.00 beta=90.00 gamma=90.00
Element x y z (fractional)
Ca: 0.2500 0.2500 0.2500
Ca: 0.7500 0.7500 0.7500
Pr: 0.0649 0.6578 0.1150
Pr: 0.1578 0.9351 0.6150
Pr: 0.3422 0.5649 0.6150
Pr: 0.4351 0.8422 0.1150
Pr: 0.5649 0.1578 0.8850
Pr: 0.6578 0.4351 0.3850
Pr: 0.8422 0.0649 0.3850
Pr: 0.9351 0.3422 0.8850
Ga: 0.0205 0.6178 0.6018
Ga: 0.1178 0.9795 0.1018
Ga: 0.3822 0.5205 0.1018
Ga: 0.4795 0.8822 0.6018
Ga: 0.5205 0.1178 0.3982
Ga: 0.6178 0.4795 0.8982
Ga: 0.8822 0.0205 0.8982
Ga: 0.9795 0.3822 0.3982